(1)
The following is a PBE calculation of an optimized crystal structure of Rb2NaHg3Bi4, from the Alexandria database.

Results
* DFT formation energy: -0.218 eV/atom
* size of the total moment: 0.00 μB/f.u.

a b c (Å): 5.1788 5.1788 12.9685
angles (deg): 90.00 90.00 90.00
Last column: nearest neighbours and their distance in Å.
Space group P-4m2 (No. 115)
Inequivalent atoms, fractional coordinates:
Rb (0.0000, 0.5000, 0.2478) x2  6 Hg 3.93-4.13, 8 Bi 3.95-4.17, 2 Na 4.13
Na (0.5000, 0.5000, 0.0000) x1  4 Bi 3.12
Hg (0.0000, 0.0000, 0.0000) x1  4 Bi 3.12
Hg (0.0000, 0.5000, 0.6415) x2  5 Bi 2.90-3.17
Bi (0.0000, 0.0000, 0.5000) x1  4 Hg 3.17
Bi (0.0000, 0.5000, 0.8655) x2  3 Hg 2.90-3.12, 2 Na 3.12
Bi (0.5000, 0.5000, 0.5000) x1  4 Hg 3.17

(2)
The following is a PBE calculation of an optimized crystal structure of Sm4AlGa2, from the Alexandria database.

Results
* ΔE to the lowest computed polymorph: 0.147 eV per atom
* DFT formation energy: -0.224 eV/atom
* size of the total moment: 0.00 μB/f.u.

a b c (Å): 7.0010 8.3279 8.3325
angles (deg): 79.18 65.21 65.21
Last column: nearest neighbours and their distance in Å.
Space group P1 (No. 1)
Inequivalent atoms, fractional coordinates:
Sm (0.0000, 0.0000, 0.0000) x1  3 Ga 2.96-3.26, 1 Al 3.01
Sm (0.0000, 0.4404, 0.5595) x1  3 Ga 2.96-3.26, 1 Al 3.02
Sm (0.0425, 0.4399, 0.9991) x1  3 Ga 2.93-3.14, 2 Al 3.00-3.03
Sm (0.0860, 0.8963, 0.4559) x1  3 Ga 2.93-3.15, 2 Al 3.02-3.03
Sm (0.5179, 0.4396, 0.0008) x1  3 Ga 2.93-3.15, 2 Al 3.02-3.03
Sm (0.5613, 0.8977, 0.4560) x1  3 Ga 2.92-3.15, 2 Al 3.01-3.03
Sm (0.6020, 0.8991, 0.8969) x1  3 Ga 2.97-3.26, 1 Al 3.02
Sm (0.6026, 0.3372, 0.4588) x1  3 Ga 2.97-3.26, 1 Al 3.02
Al (0.0457, 0.6728, 0.2321) x1  6 Sm 3.00-3.03
Al (0.5584, 0.6636, 0.2236) x1  6 Sm 3.01-3.03
Ga (0.2997, 0.1683, 0.7278) x1  6 Sm 2.92-2.97
Ga (0.3004, 0.1690, 0.2287) x1  6 Sm 3.14-3.26
Ga (0.3020, 0.6691, 0.7287) x1  6 Sm 3.14-3.26
Ga (0.8044, 0.1682, 0.7279) x1  6 Sm 2.93-2.97